# PBE-GGA Er6P5Cl, relaxed
# Uncorrected formation energy = -1.646 eV per atom
# M_tot = 0.0 μB/f.u.
data_Er6P5Cl
_chemical_formula_sum 'Er12 P10 Cl2'
_cell_length_a 6.880
_cell_length_b 11.890
_cell_length_c 6.855
_cell_angle_alpha 90.00
_cell_angle_beta 109.48
_cell_angle_gamma 90.00
_symmetry_space_group_name_H-M 'C 1 2/m 1'
_symmetry_Int_Tables_number 12
_symmetry_space_group_name_Hall '-C 2y'
loop_
_atom_site_label
_atom_site_type_symbol
_atom_site_fract_x
_atom_site_fract_y
_atom_site_fract_z
Er1 Er 0.236 0.000 0.259
Er2 Er 0.238 0.175 0.741
P1 P 0.000 0.000 0.500
P2 P 0.000 0.167 0.000
P3 P 0.000 0.338 0.500
Cl1 Cl 0.000 0.500 0.000